# 1
Material: Tb2PrTmTh
Method: DFT, GGA-PBE
State: relaxed

Output
Space group ... No. 47
E_tot ... -4.863 eV per atom
DFT formation energy ... 323 meV/atom
Mass density ... 8.17 g/cm3

abc: 5.668 8.704 7.080
angles: 90.05 90.00 90.00
Sites, in units of the cell vectors:
Tb: 0.500 0.678 0.499
Th: 0.500 0.000 0.250
Th: 0.500 0.000 0.750
Tb: 0.500 0.322 0.001
Tb: 0.500 0.678 0.999
Pr: 0.000 0.000 0.500
Pr: 0.000 0.000 0.000
Tm: 0.000 0.500 0.250
Tb: 0.500 0.322 0.501
Tm: 0.000 0.500 0.750

# 2
Material: Tb3PrTm6Th2
Method: DFT, GGA-PBE
State: relaxed

Output
Space group ... No. 12
E_tot ... -4.996 eV per atom
DFT formation energy ... 32 meV/atom
Mass density ... 9.26 g/cm3

abc: 6.156 6.156 11.628
angles: 95.08 95.08 119.97
Sites, in units of the cell vectors:
Tm: 0.578 0.916 0.751
Tm: 0.745 0.745 0.249
Tm: 0.255 0.255 0.751
Tb: 0.500 0.500 0.500
Pr: 0.000 0.000 0.000
Tm: 0.084 0.422 0.249
Tm: 0.422 0.084 0.249
Tb: 0.166 0.834 0.500
Th: 0.667 0.333 0.000
Tb: 0.834 0.166 0.500
Tm: 0.916 0.578 0.751
Th: 0.333 0.667 0.000

# 3
Material: Tb2Pr6YTh
Method: DFT, GGA-PBE
State: relaxed

Output
Space group ... No. 15
E_tot ... -5.042 eV per atom
DFT formation energy ... 140 meV/atom
Mass density ... 7.06 g/cm3

abc: 9.917 8.935 8.935
angles: 116.86 94.63 94.63
Sites, in units of the cell vectors:
Pr: 0.556 0.757 0.108
Pr: 0.880 0.299 0.509
Pr: 0.056 0.108 0.757
Tb: 0.952 0.713 0.802
Pr: 0.813 0.425 0.989
Y: 0.750 0.593 0.407
Tb: 0.048 0.287 0.198
Pr: 0.187 0.575 0.011
Tb: 0.548 0.198 0.287
Y: 0.250 0.407 0.593
Pr: 0.687 0.011 0.575
Tb: 0.452 0.802 0.713
Pr: 0.380 0.509 0.299
Pr: 0.120 0.701 0.491
Th: 0.250 0.974 0.026
Pr: 0.313 0.989 0.425
Th: 0.750 0.026 0.974
Pr: 0.944 0.892 0.243
Pr: 0.620 0.491 0.701
Pr: 0.444 0.243 0.892

# 4
Material: Tb2PrY5Th
Method: DFT, GGA-PBE
State: relaxed

Output
Space group ... No. 140
E_tot ... -5.680 eV per atom
DFT formation energy ... 295 meV/atom
Mass density ... 6.38 g/cm3

abc: 8.788 8.788 9.854
angles: 116.48 116.48 90.00
Sites, in units of the cell vectors:
Y: 0.500 0.500 0.000
Y: 0.000 0.000 0.000
Tb: 0.385 0.885 0.000
Y: 0.928 0.428 0.272
Tb: 0.615 0.115 0.000
Y: 0.072 0.572 0.728
Th: 0.750 0.750 0.500
Y: 0.844 0.928 0.272
Tb: 0.115 0.385 0.000
Y: 0.344 0.844 0.272
Y: 0.156 0.072 0.728
Tb: 0.885 0.615 0.000
Y: 0.656 0.156 0.728
Th: 0.250 0.250 0.500
Pr: 0.750 0.250 0.500
Pr: 0.250 0.750 0.500
Y: 0.428 0.344 0.272
Y: 0.572 0.656 0.728

# 5
Material: TbPrYTh2
Method: DFT, GGA-PBE
State: relaxed

Output
Space group ... No. 63
E_tot ... -5.727 eV per atom
DFT formation energy ... 416 meV/atom
Mass density ... 7.94 g/cm3

abc: 6.710 6.685 8.628
angles: 112.79 90.00 90.00
Sites, in units of the cell vectors:
Th: 0.000 0.256 0.000
Tb: 0.750 0.718 0.435
Y: 0.250 0.653 0.306
Y: 0.750 0.347 0.694
Pr: 0.250 0.849 0.698
Tb: 0.250 0.282 0.565
Th: 0.500 0.256 0.000
Pr: 0.750 0.151 0.302
Th: 0.000 0.744 0.000
Th: 0.500 0.744 0.000

# 6
Material: Tb5PrY2Th
Method: DFT, GGA-PBE
State: relaxed

Output
Space group ... No. 36
E_tot ... -5.200 eV per atom
DFT formation energy ... 164 meV/atom
Mass density ... 7.49 g/cm3

abc: 5.666 10.406 10.516
angles: 90.00 90.00 105.80
Sites, in units of the cell vectors:
Tb: 0.389 0.779 0.026
Y: 0.887 0.774 0.233
Tb: 0.522 0.045 0.237
Y: 0.114 0.228 0.320
Tb: 0.296 0.592 0.707
Pr: 0.413 0.827 0.448
Tb: 0.704 0.408 0.207
Tb: 0.017 0.034 0.025
Tb: 0.277 0.555 0.315
Tb: 0.723 0.445 0.815
Tb: 0.983 0.966 0.525
Y: 0.886 0.772 0.820
Pr: 0.587 0.173 0.948
Th: 0.798 0.596 0.514
Th: 0.202 0.404 0.014
Tb: 0.611 0.221 0.526
Tb: 0.478 0.955 0.737
Y: 0.113 0.226 0.733

# 7
Material: TbPrY3Th
Method: DFT, GGA-PBE
State: relaxed

Output
Space group ... No. 11
E_tot ... -6.009 eV per atom
DFT formation energy ... 28 meV/atom
Mass density ... 6.71 g/cm3

abc: 5.102 8.038 10.750
angles: 116.21 90.00 90.00
Sites, in units of the cell vectors:
Th: 0.250 0.621 0.121
Y: 0.750 0.867 0.042
Tb: 0.750 0.871 0.371
Y: 0.750 0.383 0.206
Tb: 0.250 0.129 0.629
Y: 0.250 0.617 0.794
Pr: 0.250 0.121 0.292
Y: 0.250 0.133 0.958
Y: 0.750 0.374 0.544
Pr: 0.750 0.879 0.708
Y: 0.250 0.626 0.456
Th: 0.750 0.379 0.879

# 8
Material: Tb2PrY6Th
Method: DFT, GGA-PBE
State: relaxed

Output
Space group ... No. 15
E_tot ... -5.874 eV per atom
DFT formation energy ... 150 meV/atom
Mass density ... 6.13 g/cm3

abc: 9.683 8.784 8.784
angles: 116.34 94.31 94.31
Sites, in units of the cell vectors:
Y: 0.820 0.425 0.979
Y: 0.058 0.113 0.756
Y: 0.442 0.244 0.887
Th: 0.750 0.028 0.972
Y: 0.616 0.486 0.703
Y: 0.116 0.703 0.486
Y: 0.942 0.887 0.244
Tb: 0.051 0.289 0.194
Tb: 0.949 0.711 0.806
Tb: 0.551 0.194 0.289
Y: 0.884 0.297 0.514
Pr: 0.250 0.405 0.595
Th: 0.250 0.972 0.028
Pr: 0.750 0.595 0.405
Y: 0.180 0.575 0.021
Y: 0.558 0.756 0.113
Tb: 0.449 0.806 0.711
Y: 0.320 0.979 0.425
Y: 0.680 0.021 0.575
Y: 0.384 0.514 0.297